A relaxed Zr3MnV crystal. Source: the Alexandria database, functional GGA-PBE.

Unit cell a=4.8096 b=4.8096 c=4.8096 alpha=90.00 beta=90.00 gamma=90.00
Last column: nearest neighbours and their distance in Å.
Positions (direct):
1 Mn 0.0000 0.0000 0.0000  6 Zr 2.40
2 Zr 0.0000 0.5000 0.0000  2 Mn 2.40
3 Zr 0.0000 0.0000 0.5000  2 Mn 2.40
4 Zr 0.5000 0.0000 0.0000  2 Mn 2.40
5 V 0.5000 0.5000 0.5000  12 Zr 3.40

Properties
* formation enthalpy at 0 K: 0.61 eV per atom
* E: -40.88 eV for the cell shown
* space-group type: Pm-3m



A relaxed ScTc2TeSe crystal. Source: the Alexandria database, functional GGA-PBE.

Unit cell a=4.8590 b=5.5084 c=4.8590 alpha=90.00 beta=90.00 gamma=90.00
Last column: nearest neighbours and their distance in Å.
Positions (direct):
1 Sc 0.5000 0.5000 0.5000  4 Se 3.44, 8 Tc 3.67
2 Te 0.0000 0.0000 0.0000  4 Tc 2.43
3 Tc 0.0000 0.0000 0.5000  2 Te 2.43
4 Tc 0.5000 0.0000 0.0000  2 Te 2.43
5 Se 0.0000 0.5000 0.0000  2 Te 2.75

Properties
* E: -27.72 eV for the cell shown
* ΔE_f (raw): 1194 meV per atom
* space-group type: P4/mmm



So what do the calculations give for magnetic moment? Going down the list: 0.56 0.60 μB per atom.
So what do the calculations give for mass density? Going down the list: 5.67 5.71 g/cm³.